[1]
Compound: PmNd2Ag5
Source: Alexandria via LeMat-Bulk
Functional: PBE-GGA
Structure: relaxed

Computed properties:
VASP energy, eV for the cell shown: -60.309
Space-group type: I4/mmm, No. 139
Energy relative to the elements, meV per atom: -202

```
16
Lattice="5.182 0.000 0.000 0.000 5.182 0.000 0.000 0.000 14.532" Properties=species:S:1:pos:R:3 pbc="T T T"
Pm 0.000 0.000 0.000
Pm 2.591 2.591 7.266
Nd 0.000 0.000 3.925
Nd 0.000 0.000 10.606
Nd 2.591 2.591 3.341
Nd 2.591 2.591 11.191
Ag 0.000 0.000 7.266
Ag 0.000 2.591 1.678
Ag 0.000 2.591 5.588
Ag 0.000 2.591 8.944
Ag 0.000 2.591 12.854
Ag 2.591 0.000 1.678
Ag 2.591 0.000 5.588
Ag 2.591 0.000 8.944
Ag 2.591 0.000 12.854
Ag 2.591 2.591 0.000
```

[2]
Compound: Pm3Nd12Ag
Source: Alexandria via LeMat-Bulk
Functional: PBE-GGA
Structure: relaxed

Computed properties:
VASP energy, eV for the cell shown: -74.001
Space-group type: P4/mmm, No. 123
Energy relative to the elements, meV per atom: 20

```
16
Lattice="5.127 0.000 0.000 0.000 5.127 0.000 0.000 0.000 20.578" Properties=species:S:1:pos:R:3 pbc="T T T"
Pm 0.000 0.000 0.000
Pm 0.000 0.000 5.247
Pm 0.000 0.000 15.330
Nd 0.000 2.563 2.624
Nd 0.000 2.563 7.846
Nd 0.000 2.563 12.732
Nd 0.000 2.563 17.954
Nd 2.563 0.000 2.624
Nd 2.563 0.000 7.846
Nd 2.563 0.000 12.732
Nd 2.563 0.000 17.954
Nd 2.563 2.563 0.000
Nd 2.563 2.563 5.316
Nd 2.563 2.563 10.289
Nd 2.563 2.563 15.262
Ag 0.000 0.000 10.289
```

[3]
Compound: PmNdAg
Source: Alexandria via LeMat-Bulk
Functional: PBE-GGA
Structure: relaxed

Computed properties:
VASP energy, eV for the cell shown: -48.458
Space-group type: F-43m, No. 216
Energy relative to the elements, meV per atom: 85

```
12
Lattice="7.310 0.000 0.000 0.000 7.310 0.000 0.000 0.000 7.310" Properties=species:S:1:pos:R:3 pbc="T T T"
Pm 0.000 0.000 0.000
Pm 0.000 3.655 3.655
Pm 3.655 0.000 3.655
Pm 3.655 3.655 0.000
Nd 0.000 0.000 3.655
Nd 0.000 3.655 0.000
Nd 3.655 0.000 0.000
Nd 3.655 3.655 3.655
Ag 1.827 1.827 5.482
Ag 1.827 5.482 1.827
Ag 5.482 1.827 1.827
Ag 5.482 5.482 5.482
```

[4]
Compound: Pm2NdAg4
Source: Alexandria via LeMat-Bulk
Functional: PBE-GGA
Structure: relaxed

Computed properties:
VASP energy, eV for the cell shown: -52.573
Space-group type: I4/mmm, No. 139
Energy relative to the elements, meV per atom: -87

```
14
Lattice="5.467 0.000 0.000 0.000 5.467 0.000 0.000 0.000 12.851" Properties=species:S:1:pos:R:3 pbc="T T T"
Pm 0.000 0.000 2.850
Pm 0.000 0.000 10.000
Pm 2.733 2.733 3.575
Pm 2.733 2.733 9.275
Nd 0.000 0.000 6.425
Nd 2.733 2.733 0.000
Ag 0.000 2.733 1.546
Ag 0.000 2.733 4.880
Ag 0.000 2.733 7.971
Ag 0.000 2.733 11.305
Ag 2.733 0.000 1.546
Ag 2.733 0.000 4.880
Ag 2.733 0.000 7.971
Ag 2.733 0.000 11.305
```

[5]
Compound: Pm3NdAg
Source: Alexandria via LeMat-Bulk
Functional: PBE-GGA
Structure: relaxed

Computed properties:
VASP energy, eV for the cell shown: -43.140
Space-group type: C2/m, No. 12
Energy relative to the elements, meV per atom: 60

```
10
Lattice="5.930 -4.269 0.000 5.930 4.269 0.000 -4.450 0.000 6.740" Properties=species:S:1:pos:R:3 pbc="T T T"
Pm -0.761 0.000 2.052
Pm 2.463 1.745 2.035
Pm 4.947 1.745 4.705
Pm 2.463 -1.745 2.035
Pm 4.947 -1.745 4.705
Pm 8.170 0.000 4.688
Nd 1.701 0.000 4.945
Nd 5.708 0.000 1.795
Ag -1.072 0.000 6.362
Ag 8.481 0.000 0.377
```

[6]
Compound: Pm2Nd2Ag3
Source: Alexandria via LeMat-Bulk
Functional: PBE-GGA
Structure: relaxed

Computed properties:
VASP energy, eV for the cell shown: -28.340
Space-group type: P-1, No. 2
Energy relative to the elements, meV per atom: -107

```
7
Lattice="5.245 0.000 0.000 2.611 4.558 0.000 2.601 1.485 8.486" Properties=species:S:1:pos:R:3 pbc="T T T"
Pm 1.303 0.754 1.013
Pm 9.154 5.290 7.473
Nd 3.920 2.265 3.104
Nd 6.537 3.778 5.382
Ag 1.300 0.743 4.243
Ag 3.916 2.253 6.382
Ag 6.541 3.791 2.104
```

[7]
Compound: Pm4NdAg
Source: Alexandria via LeMat-Bulk
Functional: PBE-GGA
Structure: relaxed

Computed properties:
VASP energy, eV for the cell shown: -51.875
Space-group type: Cmc2_1, No. 36
Energy relative to the elements, meV per atom: 114

```
12
Lattice="2.763 -7.827 0.000 2.763 7.827 0.000 0.000 0.000 9.162" Properties=species:S:1:pos:R:3 pbc="T T T"
Pm 2.763 7.573 4.581
Pm 2.763 5.273 7.442
Pm 2.763 4.152 4.162
Pm 2.763 1.425 6.811
Pm 2.763 -1.425 2.230
Pm 2.763 -4.152 8.743
Pm 2.763 -5.273 2.861
Pm 2.763 -7.573 0.000
Nd 2.763 2.087 1.148
Nd 2.763 -2.087 5.730
Ag 2.763 5.178 1.348
Ag 2.763 -5.178 5.929
```

[8]
Compound: PmNdAg3
Source: Alexandria via LeMat-Bulk
Functional: PBE-GGA
Structure: relaxed

Computed properties:
VASP energy, eV for the cell shown: -37.145
Space-group type: P-1, No. 2
Energy relative to the elements, meV per atom: -100

```
10
Lattice="5.670 0.000 0.000 -1.105 5.776 0.000 -0.005 -2.684 8.046" Properties=species:S:1:pos:R:3 pbc="T T T"
Pm -0.022 1.425 1.075
Pm 4.582 1.666 6.971
Nd 1.522 -0.881 5.250
Nd 3.037 3.973 2.796
Ag -0.555 1.546 4.023
Ag 0.118 4.380 1.890
Ag 1.930 2.163 5.288
Ag 2.835 0.000 0.000
Ag 2.629 0.929 2.758
Ag 4.441 -1.288 6.156
```

[9]
Compound: Pm4Nd3Ag4
Source: Alexandria via LeMat-Bulk
Functional: PBE-GGA
Structure: relaxed

Computed properties:
VASP energy, eV for the cell shown: -45.711
Space-group type: Immm, No. 71
Energy relative to the elements, meV per atom: -91

```
11
Lattice="-2.586 3.809 8.189 2.586 -3.809 8.189 2.586 3.809 -8.189" Properties=species:S:1:pos:R:3 pbc="T T T"
Pm 2.586 -2.102 5.326
Pm 0.000 1.707 2.863
Pm 2.586 2.102 5.326
Pm 0.000 5.911 2.863
Nd 2.586 0.000 0.000
Nd 0.000 0.000 6.511
Nd 0.000 0.000 9.867
Ag 2.586 0.000 3.164
Ag 0.000 2.394 0.000
Ag 0.000 5.225 0.000
Ag 0.000 3.809 5.025
```

[10]
Compound: PmNd3Ag2
Source: Alexandria via LeMat-Bulk
Functional: PBE-GGA
Structure: relaxed

Computed properties:
VASP energy, eV for the cell shown: -25.693
Space-group type: P4/mmm, No. 123
Energy relative to the elements, meV per atom: -156

```
6
Lattice="3.730 0.000 0.000 0.000 3.730 0.000 0.000 0.000 12.700" Properties=species:S:1:pos:R:3 pbc="T T T"
Pm 0.000 0.000 0.000
Nd 1.865 1.865 2.560
Nd 1.865 1.865 6.350
Nd 1.865 1.865 10.140
Ag 0.000 0.000 4.438
Ag 0.000 0.000 8.262
```

[11]
Compound: PmPrNdAg
Source: Alexandria via LeMat-Bulk
Functional: PBE-GGA
Structure: relaxed

Computed properties:
VASP energy, eV for the cell shown: -17.592
Space-group type: P4mm, No. 99
Energy relative to the elements, meV per atom: -111

```
4
Lattice="3.737 0.000 0.000 0.000 3.737 0.000 0.000 0.000 8.858" Properties=species:S:1:pos:R:3 pbc="T T T"
Pm 0.000 0.000 0.000
Pr 1.868 1.868 6.310
Nd 0.000 0.000 3.740
Ag 1.868 1.868 1.839
```

[12]
Compound: PmPrNdAg
Source: Alexandria via LeMat-Bulk
Functional: PBE-GGA
Structure: relaxed

Computed properties:
VASP energy, eV for the cell shown: -67.165
Space-group type: F-43m, No. 216
Energy relative to the elements, meV per atom: 90

```
16
Lattice="7.849 0.000 0.000 0.000 7.849 0.000 0.000 0.000 7.849" Properties=species:S:1:pos:R:3 pbc="T T T"
Pm 0.000 0.000 0.000
Pm 0.000 3.924 3.924
Pm 3.924 0.000 3.924
Pm 3.924 3.924 0.000
Pr 1.962 1.962 5.887
Pr 1.962 5.887 1.962
Pr 5.887 1.962 1.962
Pr 5.887 5.887 5.887
Nd 1.962 1.962 1.962
Nd 1.962 5.887 5.887
Nd 5.887 1.962 5.887
Nd 5.887 5.887 1.962
Ag 0.000 0.000 3.924
Ag 0.000 3.924 0.000
Ag 3.924 0.000 0.000
Ag 3.924 3.924 3.924
```